VASP calculation (PBE) on a relaxed structure of La3NdBr2N2.

Structure (CIF):
```
data_La3NdBr2N2
_chemical_formula_sum 'La3 Nd1 Br2 N2'
_cell_length_a 3.7612
_cell_length_b 3.7612
_cell_length_c 14.9168
_cell_angle_alpha 90.00
_cell_angle_beta 90.00
_cell_angle_gamma 120.00
_symmetry_space_group_name_H-M 'P 3 m 1'
_symmetry_Int_Tables_number 156
_symmetry_space_group_name_Hall 'P 3 -2"'
loop_
_atom_site_label
_atom_site_type_symbol
_atom_site_fract_x
_atom_site_fract_y
_atom_site_fract_z
La1 La 0.0000 0.0000 0.0000
La2 La 0.0000 0.0000 0.3198
La3 La 0.6667 0.3333 0.5029
Nd1 Nd 0.6667 0.3333 0.8207
Br1 Br 0.0000 0.0000 0.6669
Br2 Br 0.6667 0.3333 0.1601
N1 N 0.3333 0.6667 0.4114
N2 N 0.3333 0.6667 0.9062
```

VASP calculation (PBE) on a relaxed structure of ZnAg124.

Structure (CIF):
```
data_ZnAg124
_chemical_formula_sum 'Zn4 Ag496'
_cell_length_a 20.781
_cell_length_b 20.781
_cell_length_c 20.781
_cell_angle_alpha 90.00
_cell_angle_beta 90.00
_cell_angle_gamma 90.00
_symmetry_space_group_name_H-M 'F m -3 m'
_symmetry_Int_Tables_number 225
_symmetry_space_group_name_Hall '-F 4 2 3'
loop_
_atom_site_label
_atom_site_type_symbol
_atom_site_fract_x
_atom_site_fract_y
_atom_site_fract_z
Zn1 Zn 0.000 0.000 0.000
Ag1 Ag 0.000 0.000 0.200
Ag2 Ag 0.000 0.000 0.400
Ag3 Ag 0.000 0.099 0.099
Ag4 Ag 0.000 0.100 0.300
Ag5 Ag 0.000 0.200 0.200
Ag6 Ag 0.100 0.100 0.200
Ag7 Ag 0.100 0.100 0.400
Ag8 Ag 0.100 0.200 0.300
Ag9 Ag 0.200 0.200 0.200
```

VASP calculation (PBE) on a relaxed structure of HfBe2Pd.

Structure (CIF):
```
data_HfBe2Pd
_chemical_formula_sum 'Hf4 Be8 Pd4'
_cell_length_a 6.038
_cell_length_b 6.038
_cell_length_c 6.038
_cell_angle_alpha 90.00
_cell_angle_beta 90.00
_cell_angle_gamma 90.00
_symmetry_space_group_name_H-M 'F -4 3 m'
_symmetry_Int_Tables_number 216
_symmetry_space_group_name_Hall 'F -4 2 3'
loop_
_atom_site_label
_atom_site_type_symbol
_atom_site_fract_x
_atom_site_fract_y
_atom_site_fract_z
Hf1 Hf 0.000 0.000 0.000
Be1 Be 0.000 0.000 0.500
Be2 Be 0.250 0.250 0.250
Pd1 Pd 0.250 0.250 0.750
```

Short version: energy = -51.26 -1409.36 -93.84 eV/cell, in the order given.